[1]
A relaxed Zn3Ga12Ag4 crystal, computed with PBE-GGA.

Structure (POSCAR):
```
Zn3Ga12Ag4
1.0
-1.505 -4.466 -7.051
-4.131 -3.525 6.515
-2.691 7.971 -1.073
Zn Ga Ag
3 12 4
direct
0.500 0.500 0.000
0.000 0.500 0.500
0.500 0.000 0.500
0.919 0.277 0.642
0.642 0.919 0.277
0.642 0.366 0.723
0.723 0.642 0.366
0.634 0.277 0.358
0.358 0.081 0.723
0.723 0.358 0.081
0.081 0.723 0.358
0.277 0.642 0.919
0.366 0.723 0.642
0.358 0.634 0.277
0.277 0.358 0.634
0.500 0.500 0.500
0.000 0.000 0.500
0.000 0.500 0.000
0.500 0.000 0.000
```

Summary:
Calculated volume = 469.63 Å³ per cell
SG = Im-3 (204)
Energy of formation = 0.129 eV/atom
E = -0.095 hartree per atom


[2]
A relaxed Cs3SmI8 crystal, computed with PBE-GGA.

Structure (POSCAR):
```
Cs3SmI8
1.0
8.654 0.000 0.000
0.000 8.654 0.000
-4.327 -4.327 8.847
Cs I Sm
3 8 1
direct
0.250 0.750 0.500
0.750 0.250 0.500
0.500 0.500 0.000
0.109 0.109 0.783
0.891 0.325 0.217
0.325 0.325 0.217
0.109 0.675 0.783
0.675 0.109 0.783
0.675 0.675 0.783
0.325 0.891 0.217
0.891 0.891 0.217
0.000 0.000 0.000
```

Summary:
Calculated volume = 662.53 Å³ per cell
SG = I4/mmm (139)
E = -0.101 hartree per atom
Energy relative to the elements, uncorrected = -1.1006 eV per atom


[3]
A relaxed Mg9Tl2Sn crystal, computed with PBE-GGA.

Structure (POSCAR):
```
Mg9Tl2Sn
1.0
4.513 0.000 0.000
0.000 4.513 0.000
0.000 0.000 13.571
Mg Tl Sn
9 2 1
direct
0.500 0.500 0.331
0.500 0.000 0.164
0.000 0.500 0.500
0.000 0.500 0.164
0.500 0.000 0.500
0.500 0.500 0.000
0.500 0.000 0.836
0.500 0.500 0.669
0.000 0.500 0.836
0.000 0.000 0.668
0.000 0.000 0.332
0.000 0.000 0.000
```

Summary:
Calculated volume = 276.37 Å³ per cell
SG = P4/mmm (123)
Energy of formation = -0.068 eV/atom
E = -0.073 hartree per atom


[4]
A relaxed Rb2SnHg crystal, computed with PBE-GGA.

Structure (POSCAR):
```
Rb2SnHg
1.0
-5.479 -0.439 -3.762
4.262 -0.850 -2.647
1.526 -4.902 3.980
Hg Rb Sn
1 2 1
direct
0.391 0.579 0.945
0.809 0.790 0.654
0.188 0.977 0.344
0.612 0.190 0.056
```

Summary:
Calculated volume = 172.56 Å³ per cell
SG = P1 (1)
Energy of formation = -0.183 eV/atom
E = -0.064 hartree per atom


[5]
A relaxed K2MgZn2P6O18 crystal, computed with PBE-GGA.

Structure (POSCAR):
```
K2MgZn2P6O18
1.0
3.474 -6.017 0.000
3.474 6.017 0.000
0.000 0.000 10.077
O P Zn K Mg
18 6 2 2 1
direct
0.091 0.400 0.628
0.600 0.691 0.372
0.094 0.695 0.871
0.824 0.059 0.500
0.305 0.399 0.129
0.825 0.768 0.000
0.094 0.695 0.129
0.600 0.691 0.628
0.232 0.056 0.000
0.309 0.909 0.372
0.235 0.176 0.500
0.601 0.906 0.129
0.941 0.765 0.500
0.944 0.175 0.000
0.091 0.400 0.372
0.305 0.399 0.871
0.309 0.909 0.628
0.601 0.906 0.871
0.720 0.931 0.000
0.719 0.791 0.500
0.069 0.789 0.000
0.209 0.928 0.500
0.211 0.280 0.000
0.072 0.281 0.500
0.333 0.667 0.244
0.333 0.667 0.756
0.667 0.333 0.690
0.667 0.333 0.310
0.667 0.333 0.000
```

Summary:
Calculated volume = 421.31 Å³ per cell
SG = P-6 (174)
E = -0.232 hartree per atom
Energy relative to the elements, uncorrected = -1.9089 eV per atom


What is the formula in the second record? Cs3SmI8